Entry 1:
# SrYMo, optimized geometry, DFT PBE
data_SrYMo
_chemical_formula_sum 'Sr1 Y1 Mo1'
_cell_length_a 7.3913
_cell_length_b 7.3913
_cell_length_c 3.6019
_cell_angle_alpha 75.90
_cell_angle_beta 75.90
_cell_angle_gamma 28.20
_symmetry_space_group_name_H-M 'P 1'
_symmetry_Int_Tables_number 1
_symmetry_space_group_name_Hall 'P 1'
loop_
_atom_site_label
_atom_site_type_symbol
_atom_site_fract_x
_atom_site_fract_y
_atom_site_fract_z
_atom_site_occupancy
Y1 Y 0.6291 0.6291 0.3709 1
Sr1 Sr 0.3578 0.3578 0.6422 1
Mo1 Mo 0.0131 0.0131 0.9869 1
# relative energy among the computed polymorphs	0	meV/atom
# DFT formation energy	670.5	meV per atom


Entry 2:
# SrYMo2, optimized geometry, DFT PBE
data_SrYMo2
_chemical_formula_sum 'Sr1 Y1 Mo2'
_cell_length_a 4.5266
_cell_length_b 3.4957
_cell_length_c 7.7138
_cell_angle_alpha 63.08
_cell_angle_beta 90.00
_cell_angle_gamma 90.00
_symmetry_space_group_name_H-M 'P 1'
_symmetry_Int_Tables_number 1
_symmetry_space_group_name_Hall 'P 1'
loop_
_atom_site_label
_atom_site_type_symbol
_atom_site_fract_x
_atom_site_fract_y
_atom_site_fract_z
_atom_site_occupancy
Mo1 Mo 0.0000 0.4102 0.5888 1
Mo2 Mo 0.0000 0.0898 0.9112 1
Sr1 Sr 0.5000 0.2500 0.2500 1
Y1 Y 0.5000 0.7500 0.7500 1
# relative energy among the computed polymorphs	296	meV/atom
# DFT formation energy	669.3	meV per atom


Entry 3:
# SrYMo2, optimized geometry, DFT PBE
data_SrYMo2
_chemical_formula_sum 'Sr1 Y1 Mo2'
_cell_length_a 5.0122
_cell_length_b 5.0122
_cell_length_c 5.0122
_cell_angle_alpha 120.15
_cell_angle_beta 120.15
_cell_angle_gamma 89.74
_symmetry_space_group_name_H-M 'P 1'
_symmetry_Int_Tables_number 1
_symmetry_space_group_name_Hall 'P 1'
loop_
_atom_site_label
_atom_site_type_symbol
_atom_site_fract_x
_atom_site_fract_y
_atom_site_fract_z
_atom_site_occupancy
Mo1 Mo 0.2500 0.7500 0.5000 1
Mo2 Mo 0.0000 0.0000 0.0000 1
Sr1 Sr 0.5000 0.5000 0.0000 1
Y1 Y 0.7500 0.2500 0.5000 1
# relative energy among the computed polymorphs	530	meV/atom
# DFT formation energy	903.2	meV per atom


Entry 4:
# SrY2Mo, optimized geometry, DFT PBE
data_SrY2Mo
_chemical_formula_sum 'Sr1 Y2 Mo1'
_cell_length_a 10.9911
_cell_length_b 10.9911
_cell_length_c 10.9911
_cell_angle_alpha 19.28
_cell_angle_beta 19.28
_cell_angle_gamma 19.28
_symmetry_space_group_name_H-M 'P 1'
_symmetry_Int_Tables_number 1
_symmetry_space_group_name_Hall 'P 1'
loop_
_atom_site_label
_atom_site_type_symbol
_atom_site_fract_x
_atom_site_fract_y
_atom_site_fract_z
_atom_site_occupancy
Sr1 Sr 0.7500 0.7500 0.7500 1
Y1 Y 0.9777 0.9777 0.9777 1
Y2 Y 0.5223 0.5223 0.5223 1
Mo1 Mo 0.2500 0.2500 0.2500 1
# relative energy among the computed polymorphs	174	meV/atom
# DFT formation energy	482.2	meV per atom


Number 1: total DFT energy (no corrections) -16.97 eV for the cell shown, total magnetization 2.184 μB/f.u.. Number 2: total DFT energy (no corrections) -27.13 eV for the cell shown, total magnetization 0.000 μB/f.u.. Number 3: total DFT energy (no corrections) -26.20 eV for the cell shown, total magnetization 0.000 μB/f.u.. Number 4: total DFT energy (no corrections) -23.51 eV for the cell shown, total magnetization 0.001 μB/f.u..